Entry from Alexandria via LeMat-Bulk: an optimized crystal structure of Cs4CaPb3Br12 (GGA-PBE).

## Properties
Fermi-level density of states ... 0.00 states/eV/atom
Formation energy from raw total energies ... -1.4553 eV/atom

a = 10.2955 Å, b = 10.2955 Å, c = 10.2955 Å
α = 109.47°, β = 109.47°, γ = 109.47°
With the nearest neighbours (Å) after each atom.
Positions (direct):
Br 0.7556 0.0000 0.7556  1 Ca 2.91, 1 Pb 3.04
Br 0.7500 0.2500 0.5000  2 Pb 2.97
Br 0.0000 0.2444 0.2444  1 Ca 2.91, 1 Pb 3.04
Br 0.7500 0.5000 0.2500  2 Pb 2.97
Br 0.5000 0.7500 0.2500  2 Pb 2.97
Cs 0.5000 0.5000 0.5000  12 Br 4.20
Br 0.2500 0.7500 0.5000  2 Pb 2.97
Br 0.2500 0.5000 0.7500  2 Pb 2.97
Br 0.0000 0.7556 0.7556  1 Ca 2.91, 1 Pb 3.04
Br 0.2444 0.2444 0.0000  1 Ca 2.91, 1 Pb 3.04
Ca 0.0000 0.0000 0.0000  6 Br 2.91
Br 0.5000 0.2500 0.7500  2 Pb 2.97
Br 0.7556 0.7556 0.0000  1 Ca 2.91, 1 Pb 3.04
Cs 0.5000 0.0000 0.0000  12 Br 4.20
Pb 0.5000 0.0000 0.5000  6 Br 2.97-3.04
Pb 0.0000 0.5000 0.5000  6 Br 2.97-3.04
Br 0.2444 0.0000 0.2444  1 Ca 2.91, 1 Pb 3.04
Cs 0.0000 0.5000 0.0000  12 Br 4.20
Cs 0.0000 0.0000 0.5000  12 Br 4.20
Pb 0.5000 0.5000 0.0000  6 Br 2.97-3.04